Record 1
First-principles (PBE) data for a relaxed YMg2Hg3 crystal, as listed in Alexandria via LeMat-Bulk.

Calculated volume, Å³/atom: 23.06
ΔH_f (0 K), eV per atom: -0.3231

Cell: 4.8531 4.8531 13.5643 Å, 90.00 90.00 120.00°
Space group P6_3/mmc (No. 194)
Asymmetric unit:
Y (0.0000, 0.0000, 0.2500) x2
Mg (0.3333, 0.6667, 0.0863) x4
Hg (0.0000, 0.0000, 0.0000) x2
Hg (0.3333, 0.6667, 0.6381) x4

***

Record 2
First-principles (PBE) data for a relaxed Ba2CaEu crystal, as listed in Alexandria via LeMat-Bulk.

Calculated volume, Å³/atom: 52.85
ΔH_f (0 K), eV per atom: 0.0449

Cell: 4.739 4.739 9.413 Å, 90.00 90.00 90.00°
Space group P4/mmm (No. 123)
Asymmetric unit:
Ba (0.000, 0.000, 0.248) x2
Ca (0.500, 0.500, 0.000) x1
Eu (0.500, 0.500, 0.500) x1

***

Record 3
First-principles (PBE) data for a relaxed SiAgTeAs2 crystal, as listed in Alexandria via LeMat-Bulk.

Calculated volume, Å³/atom: 23.21
Formation energy without anion corrections, meV per atom: 529

Cell: 4.905 4.905 4.825 Å, 90.00 90.00 90.00°
Space group P4/mmm (No. 123)
Asymmetric unit:
Si (0.000, 0.000, 0.000) x1
Ag (0.000, 0.000, 0.500) x1
Te (0.500, 0.500, 0.500) x1
As (0.000, 0.500, 0.000) x2